Density functional theory data (GGA+U) for crystalline Na3La3VO8 at its relaxed geometry.

a b c (Å): 11.757 7.076 6.911
angles (deg): 90.00 123.82 90.00
Space group C2/m (No. 12)
One atom of each set of equivalent atoms:
1 Na 0.000 0.000 0.000 (multiplicity 2)
2 Na 0.250 0.250 0.500 (multiplicity 4)
3 La 0.000 0.500 0.500 (multiplicity 2)
4 La 0.250 0.250 0.000 (multiplicity 4)
5 V 0.000 0.000 0.500 (multiplicity 2)
6 O 0.007 0.216 0.710 (multiplicity 8)
7 O 0.202 0.000 0.711 (multiplicity 4)
8 O 0.242 0.500 0.763 (multiplicity 4)

For the density of states at the Fermi level, the calculation gives 0.0 states/eV/cell. The size of the total moment comes out at 2.00 μB/cell. The total DFT energy (no corrections) comes out at -6.901 eV/atom.